DFT (PBE) results for an optimized crystal structure of Mg2Se. Values from VASP.

Structure (Quantum ESPRESSO input):
```
&SYSTEM
  ibrav = 0, nat = 6, ntyp = 2
/
ATOMIC_SPECIES
Mg 24.30 Mg.upf
Se 78.96 Se.upf
CELL_PARAMETERS angstrom
-5.561 -1.456 -2.637
-3.489 -4.443 -2.841
-3.289 -2.596 4.600
ATOMIC_POSITIONS angstrom
Mg -4.175 -2.849 -0.671
Mg -3.955 -3.025 4.127
Mg -7.690 -5.268 -0.932
Mg -5.853 -4.168 1.595
Se -10.350 -6.955 -3.232
Se -7.049 -4.636 -3.667
```

Properties
The density of states at the Fermi level is 0.248 states/eV per atom. The value obtained for the uncorrected formation energy is -0.574 eV/atom. The total magnetization comes out at 0.0 μB/f.u.